Record 1
{"formula": "Ta2SiP", "functional": "PBE", "state": "optimized geometry", "total_energy_ha_per_atom": -0.3256, "space_group": "No. 47", "raw_formation_energy_ev_per_atom": -0.2261, "volume_a3_per_cell": 62.73, "m_tot_mub_per_atom": 0.00, "dos_at_fermi_per_ev_atom": 0.5120, "lattice": [[3.605, 0.000, 0.000], [0.000, 4.811, 0.000], [0.000, 0.000, 3.618]], "species": ["Ta", "Ta", "P", "Si"], "fractional_positions": [[0.000, 0.000, 0.000], [0.500, 0.500, 0.000], [0.500, 0.000, 0.500], [0.000, 0.500, 0.500]]}

Record 2
{"formula": "TaSi2P", "functional": "PBE", "state": "optimized geometry", "total_energy_ha_per_atom": -0.2542, "space_group": "No. 139", "raw_formation_energy_ev_per_atom": 0.1110, "volume_a3_per_cell": 59.03, "m_tot_mub_per_atom": 0.00, "dos_at_fermi_per_ev_atom": 0.6667, "lattice": [[-2.046, 4.624, -0.289], [-4.731, 0.404, -1.763], [2.464, -2.772, 3.450]], "species": ["Ta", "Si", "Si", "P"], "fractional_positions": [[0.250, 0.750, 0.500], [0.000, 0.000, 0.000], [0.500, 0.500, 0.000], [0.750, 0.250, 0.500]]}

Record 3
{"formula": "Ta2SiP", "functional": "PBE", "state": "optimized geometry", "total_energy_ha_per_atom": -0.3096, "space_group": "No. 216", "raw_formation_energy_ev_per_atom": 0.2090, "volume_a3_per_cell": 63.97, "m_tot_mub_per_atom": 0.00, "dos_at_fermi_per_ev_atom": 1.5740, "lattice": [[4.489, 0.000, 0.000], [2.245, 3.888, 0.000], [2.245, 1.296, 3.665]], "species": ["Ta", "Ta", "P", "Si"], "fractional_positions": [[0.000, 0.000, 0.000], [0.750, 0.750, 0.750], [0.500, 0.500, 0.500], [0.250, 0.250, 0.250]]}

Record 4
{"formula": "Ta2SiP", "functional": "PBE", "state": "optimized geometry", "total_energy_ha_per_atom": -0.3212, "space_group": "No. 119", "raw_formation_energy_ev_per_atom": -0.1060, "volume_a3_per_cell": 62.07, "m_tot_mub_per_atom": 0.00, "dos_at_fermi_per_ev_atom": 0.5503, "lattice": [[-2.201, 1.420, -4.485], [1.536, -2.289, -4.402], [-1.512, -1.417, 4.763]], "species": ["Ta", "Ta", "P", "Si"], "fractional_positions": [[0.250, 0.750, 0.500], [0.000, 0.000, 0.000], [0.500, 0.500, 0.000], [0.750, 0.250, 0.500]]}

Record 5
{"formula": "TaSi2P", "functional": "PBE", "state": "optimized geometry", "total_energy_ha_per_atom": -0.2506, "space_group": "No. 119", "raw_formation_energy_ev_per_atom": 0.2066, "volume_a3_per_cell": 59.45, "m_tot_mub_per_atom": 0.00, "dos_at_fermi_per_ev_atom": 0.6803, "lattice": [[-3.305, 2.283, 2.914], [-4.478, -2.133, 0.171], [4.681, -1.566, 0.520]], "species": ["Si", "Si", "Ta", "P"], "fractional_positions": [[0.250, 0.750, 0.500], [0.000, 0.000, 0.000], [0.500, 0.500, 0.000], [0.750, 0.250, 0.500]]}

Record 6
{"formula": "TaSi2P", "functional": "PBE", "state": "optimized geometry", "total_energy_ha_per_atom": -0.2488, "space_group": "No. 160", "raw_formation_energy_ev_per_atom": 0.2560, "volume_a3_per_cell": 68.02, "m_tot_mub_per_atom": 0.00, "dos_at_fermi_per_ev_atom": 0.8749, "lattice": [[9.616, 0.000, 0.000], [9.184, 2.847, 0.000], [9.184, 1.391, 2.485]], "species": ["P", "Si", "Si", "Ta"], "fractional_positions": [[0.236, 0.236, 0.236], [0.754, 0.754, 0.754], [0.014, 0.014, 0.014], [0.496, 0.496, 0.496]]}

> What is the formula in the sixth record?

TaSi2P